# 1
Density functional theory data (SCAN) for a PBEsol-optimized structure of MoW3Se8.

a b c (Å): 3.2699 3.2699 26.1909
angles (deg): 90.00 90.00 120.00
Fractional coordinates of all 12 atoms:
Mo 0.0000 0.0000 0.0000
W 0.0000 0.0000 0.5013
W 0.3333 0.6667 0.2493
W 0.3333 0.6667 0.7516
Se 0.0000 0.0000 0.1852
Se 0.0000 0.0000 0.3134
Se 0.0000 0.0000 0.6875
Se 0.0000 0.0000 0.8156
Se 0.3333 0.6667 0.0635
Se 0.3333 0.6667 0.4372
Se 0.3333 0.6667 0.5653
Se 0.3333 0.6667 0.9365

ΔE_f (raw): -6.9 eV per formula unit

***

# 2
Density functional theory data (SCAN) for a PBEsol-optimized structure of Sr2Li2Zn.

a b c (Å): 10.1227 10.1227 10.1227
angles (deg): 157.65 157.65 31.81
Fractional coordinates of all 5 atoms:
Sr 0.0943 0.0943 0.0000
Sr 0.9057 0.9057 0.0000
Li 0.2500 0.7500 0.5000
Li 0.7500 0.2500 0.5000
Zn 0.5000 0.5000 0.0000

energy relative to the elements: -34 meV/atom

***

# 3
Density functional theory data (SCAN) for a PBEsol-optimized structure of FeP5O15.

a b c (Å): 5.1097 13.6785 8.7838
angles (deg): 90.00 105.63 90.00
Fractional coordinates of all 42 atoms:
Fe 0.0000 0.0000 0.0000
Fe 0.0000 0.5000 0.0000
P 0.0576 0.2500 0.5161
P 0.0935 0.5767 0.6744
P 0.0935 0.9233 0.6744
P 0.4852 0.6408 0.9683
P 0.4852 0.8592 0.9683
P 0.5148 0.1408 0.0317
P 0.5148 0.3592 0.0317
P 0.9065 0.0767 0.3256
P 0.9065 0.4233 0.3256
P 0.9424 0.7500 0.4839
O 0.0395 0.0193 0.2196
O 0.0395 0.4807 0.2196
O 0.1081 0.1616 0.4015
O 0.1081 0.3384 0.4015
O 0.2068 0.5206 0.5564
O 0.2068 0.9794 0.5564
O 0.2149 0.1267 0.9957
O 0.2149 0.3733 0.9957
O 0.2319 0.7500 0.4772
O 0.2732 0.2500 0.6686
O 0.3305 0.5753 0.0526
O 0.3305 0.9247 0.0526
O 0.3569 0.6319 0.7808
O 0.3569 0.8681 0.7808
O 0.4101 0.7500 0.0016
O 0.5899 0.2500 0.9984
O 0.6431 0.1319 0.2192
O 0.6431 0.3681 0.2192
O 0.6695 0.0753 0.9474
O 0.6695 0.4247 0.9474
O 0.7268 0.7500 0.3314
O 0.7681 0.2500 0.5228
O 0.7851 0.6267 0.0043
O 0.7851 0.8733 0.0043
O 0.7932 0.0206 0.4436
O 0.7932 0.4794 0.4436
O 0.8919 0.6616 0.5985
O 0.8919 0.8384 0.5985
O 0.9605 0.5193 0.7804
O 0.9605 0.9807 0.7804

ΔE_f (raw): -42.1 eV per formula unit

***

# 4
Density functional theory data (SCAN) for a PBEsol-optimized structure of YTiHg3.

a b c (Å): 5.0679 5.0679 5.0679
angles (deg): 90.00 90.00 90.00
Fractional coordinates of all 5 atoms:
Y 0.0000 0.0000 0.0000
Ti 0.5000 0.5000 0.5000
Hg 0.0000 0.5000 0.5000
Hg 0.5000 0.0000 0.5000
Hg 0.5000 0.5000 0.0000

energy relative to the elements: 91 meV/atom

***

# 5
Density functional theory data (SCAN) for a PBEsol-optimized structure of ZnNi5.

a b c (Å): 4.2817 4.2817 4.0451
angles (deg): 90.00 90.00 120.00
Fractional coordinates of all 6 atoms:
Zn 0.0000 0.0000 0.0000
Ni 0.0000 0.3418 0.5000
Ni 0.3333 0.6667 0.0000
Ni 0.3418 0.0000 0.5000
Ni 0.6582 0.6582 0.5000
Ni 0.6667 0.3333 0.0000

energy relative to the elements: -17 meV/atom

***

# 6
Density functional theory data (SCAN) for a PBEsol-optimized structure of RbGa3Tc.

a b c (Å): 4.8733 4.8733 4.8733
angles (deg): 90.00 90.00 90.00
Fractional coordinates of all 5 atoms:
Rb 0.0000 0.0000 0.0000
Ga 0.0000 0.5000 0.5000
Ga 0.5000 0.0000 0.5000
Ga 0.5000 0.5000 0.0000
Tc 0.5000 0.5000 0.5000

energy relative to the elements: -213 meV/atom

***

# 7
Density functional theory data (SCAN) for a PBEsol-optimized structure of SbPRh2.

a b c (Å): 4.3441 4.3441 3.2149
angles (deg): 90.00 90.00 90.00
Fractional coordinates of all 4 atoms:
Sb 0.0000 0.0000 0.0000
P 0.5000 0.5000 0.0000
Rh 0.0000 0.5000 0.5000
Rh 0.5000 0.0000 0.5000

ΔE_f (raw): -0.1 eV per formula unit

***

# 8
Density functional theory data (SCAN) for a PBEsol-optimized structure of Li2ScHg.

a b c (Å): 4.7008 4.7008 4.7008
angles (deg): 60.00 60.00 60.00
Fractional coordinates of all 4 atoms:
Li 0.0000 0.0000 0.0000
Li 0.2500 0.2500 0.2500
Sc 0.5000 0.5000 0.5000
Hg 0.7500 0.7500 0.7500

energy relative to the elements: -347 meV/atom

***

# 9
Density functional theory data (SCAN) for a PBEsol-optimized structure of Sn3HS.

a b c (Å): 5.3018 5.3018 5.3018
angles (deg): 90.00 90.00 90.00
Fractional coordinates of all 5 atoms:
Sn 0.0000 0.0000 0.5000
Sn 0.0000 0.5000 0.0000
Sn 0.5000 0.0000 0.0000
H 0.5000 0.5000 0.5000
S 0.0000 0.0000 0.0000

***

# 10
Density functional theory data (SCAN) for a PBEsol-optimized structure of Te3Pb.

a b c (Å): 5.4587 5.4587 3.7968
angles (deg): 90.00 90.00 90.00
Fractional coordinates of all 4 atoms:
Te 0.0000 0.0000 0.0000
Te 0.0000 0.5000 0.5000
Te 0.5000 0.0000 0.5000
Pb 0.5000 0.5000 0.0000

ΔE_f (raw): 0.4 eV per formula unit

***

# 11
Density functional theory data (SCAN) for a PBEsol-optimized structure of Ca2Re.

a b c (Å): 8.1078 8.1078 8.1078
angles (deg): 158.75 158.75 30.23
Fractional coordinates of all 3 atoms:
Ca 0.1410 0.1410 0.0000
Ca 0.8590 0.8590 0.0000
Re 0.5000 0.5000 0.0000

energy relative to the elements: 827 meV/atom

***

# 12
Density functional theory data (SCAN) for a PBEsol-optimized structure of BaTcPS2.

a b c (Å): 5.4946 5.4946 5.4991
angles (deg): 90.00 90.00 90.00
Fractional coordinates of all 5 atoms:
Ba 0.0000 0.0000 0.0000
Tc 0.5000 0.5000 0.5000
P 0.0000 0.0000 0.5000
S 0.0000 0.5000 0.0000
S 0.5000 0.0000 0.0000

ΔE_f (raw): 7.1 eV per formula unit

***

| no. | DFT total energy (eV for the cell shown) |
| --- | --- |
| 1 | -411.43 |
| 2 | -63.01 |
| 3 | -411.48 |
| 4 | -247.92 |
| 5 | -94.49 |
| 6 | -105.90 |
| 7 | -115.29 |
| 8 | -88.57 |
| 9 | -116.23 |
| 10 | -187.11 |
| 11 | -87.94 |
| 12 | -97.20 |